(1)
10
Lattice="7.7183 0.0000 0.0000 0.0000 7.7183 0.0000 0.0000 0.0000 2.8663" Properties=species:S:1:pos:R:3 comment="PBE LiMg2Ir2, relaxed" dft_energy_ev_per_atom=-4.683 spacegroup="P4/mbm (127)" m_tot_mub_per_atom=0.0000 e_above_lowest_polymorph_mev_per_atom=0 formation_energy_ev_per_atom=-0.118 pbc="T T T"
Ir 4.7992 0.9401 0.0000
Ir 6.7783 4.7992 0.0000
Ir 2.9191 6.7783 0.0000
Ir 0.9401 2.9191 0.0000
Mg 2.5211 1.3381 1.4332
Mg 1.3381 5.1973 1.4332
Mg 5.1973 6.3802 1.4332
Mg 6.3802 2.5211 1.4332
Li 0.0000 0.0000 0.0000
Li 3.8592 3.8592 0.0000

=====

(2)
16
Lattice="6.2057 0.0000 0.0000 0.0000 6.2057 0.0000 0.0000 0.0000 6.2057" Properties=species:S:1:pos:R:3 comment="PBE Li2MgIr, relaxed" dft_energy_ev_per_atom=-3.735 spacegroup="P-43m (215)" m_tot_mub_per_atom=0.0000 formation_energy_ev_per_atom=-0.164 pbc="T T T"
Li 4.5392 4.5392 1.6665
Li 3.1028 0.0000 3.1028
Li 3.1028 3.1028 3.1028
Li 1.6665 1.6665 1.6665
Li 4.5392 1.6665 4.5392
Li 0.0000 3.1028 3.1028
Li 1.6665 4.5392 4.5392
Li 3.1028 3.1028 0.0000
Ir 4.6391 1.5666 1.5666
Ir 1.5666 1.5666 4.6391
Ir 1.5666 4.6391 1.5666
Ir 4.6391 4.6391 4.6391
Mg 3.1028 0.0000 0.0000
Mg 0.0000 0.0000 0.0000
Mg 0.0000 0.0000 3.1028
Mg 0.0000 3.1028 0.0000

=====

(3)
10
Lattice="5.7855 0.0000 0.0000 0.0000 5.7855 0.0000 0.0000 0.0000 3.8157" Properties=species:S:1:pos:R:3 comment="PBE Li2MgIr2, relaxed" dft_energy_ev_per_atom=-4.612 spacegroup="P4/mbm (127)" m_tot_mub_per_atom=0.0000 e_above_lowest_polymorph_mev_per_atom=0 formation_energy_ev_per_atom=0.017 pbc="T T T"
Ir 3.9310 4.7473 1.9079
Ir 4.7473 1.8545 1.9079
Ir 1.8545 1.0383 1.9079
Ir 1.0383 3.9310 1.9079
Mg 2.8928 2.8928 0.0000
Mg 0.0000 0.0000 0.0000
Li 0.6909 2.2019 0.0000
Li 2.2019 5.0946 0.0000
Li 3.5837 0.6909 0.0000
Li 5.0946 3.5837 0.0000

=====

(4)
4
Lattice="4.7762 -0.0169 -0.0241 1.6347 4.4878 0.0241 -2.9360 -2.6219 2.7054" Properties=species:S:1:pos:R:3 comment="PBE Li2MgIr, relaxed" dft_energy_ev_per_atom=-3.702 spacegroup="Imm2 (44)" m_tot_mub_per_atom=0.0000 formation_energy_ev_per_atom=-0.131 pbc="T T T"
Ir 0.9016 2.0155 1.3647
Mg 3.2308 2.2531 0.0000
Li 2.5797 -0.1621 1.3406
Li 6.3794 4.4488 0.0000

=====

(5)
5
Lattice="-0.8001 0.4477 -4.0802 -2.9753 -2.9270 0.2622 -2.8277 2.9531 0.8785" Properties=species:S:1:pos:R:3 comment="PBE LiMgIr3, relaxed" dft_energy_ev_per_atom=-5.412 spacegroup="Pm-3m (221)" m_tot_mub_per_atom=0.0000 e_above_lowest_polymorph_mev_per_atom=0 formation_energy_ev_per_atom=0.606 pbc="T T T"
Ir -1.4139 1.4766 0.4393
Ir -1.4877 -1.4635 0.1311
Ir -0.4000 0.2239 -2.0401
Mg -3.3016 0.2369 -1.4697
Li 0.0000 0.0000 0.0000

=====

(6)
12
Lattice="-0.0327 -0.1441 -2.8932 -4.5932 -1.4767 0.1254 -3.0548 9.4644 -0.4368" Properties=species:S:1:pos:R:3 comment="PBE Li2MgIrN2, relaxed" dft_energy_ev_per_atom=-5.316 spacegroup="Pnnm (58)" m_tot_mub_per_atom=0.0000 formation_energy_uncorrected_ev_per_fu=-0.96 pbc="T T T"
N -4.9460 2.2001 -1.5041
N -5.7433 7.2338 -0.2954
N -1.9047 0.7539 -0.0160
N -2.7347 5.6435 -1.7006
Ir -1.5274 4.7322 -0.2184
Ir -2.3129 -0.8104 -1.3839
Li -6.1211 5.8081 -1.6705
Li -1.5596 2.0355 -1.5341
Li -3.8035 6.6041 -0.2859
Li -3.8445 1.3836 -0.0255
Mg -3.8403 3.9218 -1.6023
Mg 0.0000 0.0000 0.0000